No. 1
TiGeTe3 | PBE | relaxed Values from VASP.

Calculated values
- Calculated volume: 30.0 A^3/atom
- Uncorrected formation energy: 0.67 eV/atom

Geometry as Quantum ESPRESSO input:
```
&SYSTEM
  ibrav = 0, nat = 5, ntyp = 3
/
ATOMIC_SPECIES
Ti 47.87 Ti.upf
Ge 72.64 Ge.upf
Te 127.60 Te.upf
CELL_PARAMETERS angstrom
5.314 0.000 0.000
0.000 5.314 0.000
0.000 0.000 5.314
ATOMIC_POSITIONS crystal
Ti 0.000 0.000 0.000
Ge 0.500 0.500 0.500
Te 0.000 0.500 0.500
Te 0.500 0.000 0.500
Te 0.500 0.500 0.000
```

---

No. 2
Ti2Ge2Te | PBE | relaxed Values from VASP.

Calculated values
- Calculated volume: 20.5 A^3/atom
- Offset from the most stable computed form: 0.281 eV per atom
- Uncorrected formation energy: -0.15 eV/atom

Geometry as Quantum ESPRESSO input:
```
&SYSTEM
  ibrav = 0, nat = 5, ntyp = 3
/
ATOMIC_SPECIES
Ti 47.87 Ti.upf
Ge 72.64 Ge.upf
Te 127.60 Te.upf
CELL_PARAMETERS angstrom
-2.430 2.430 4.331
2.430 -2.430 4.331
2.430 2.430 -4.331
ATOMIC_POSITIONS crystal
Ti 0.250 0.750 0.500
Ti 0.750 0.250 0.500
Ge 0.144 0.144 0.000
Ge 0.856 0.856 0.000
Te 0.500 0.500 0.000
```